Record 1
{
  "formula": "NaLiCd",
  "functional": "PBE-GGA",
  "state": "relaxed",
  "cell": [[3.629, 0.000, 0.000], [0.000, 3.629, 0.000], [-1.815, -1.815, 5.491]],
  "species": ["Cd", "Na", "Li"],
  "fractional_positions": [[0.308, 0.308, 0.616], [0.997, 0.997, 0.995], [0.695, 0.695, 0.389]],
  "formation_energy_ev_per_atom": -0.09,
  "relative_energy_ev_per_fu": 0.09,
  "sg": "No. 107"
}



Record 2
{
  "formula": "PrHfSc2",
  "functional": "PBE-GGA",
  "state": "relaxed",
  "cell": [[3.333, 0.000, 0.000], [1.667, 2.887, 0.000], [1.667, 0.962, 10.890]],
  "species": ["Pr", "Sc", "Sc", "Hf"],
  "fractional_positions": [[0.501, 0.501, 0.497], [0.257, 0.257, 0.228], [0.076, 0.076, 0.773], [0.666, 0.666, 0.001]],
  "formation_energy_ev_per_atom": 0.10,
  "relative_energy_ev_per_fu": 0.02,
  "sg": "No. 160"
}



Record 3
{
  "formula": "TiCuTe3",
  "functional": "PBE-GGA",
  "state": "relaxed",
  "cell": [[-2.919, 4.229, 1.239], [-2.104, -2.643, 4.065], [3.872, 1.751, 3.143]],
  "species": ["Te", "Te", "Te", "Ti", "Cu"],
  "fractional_positions": [[0.500, 0.000, 0.000], [0.000, 0.500, 0.000], [0.000, 0.000, 0.500], [0.000, 0.000, 0.000], [0.500, 0.500, 0.500]],
  "raw_formation_energy_ev_per_atom": 0.30,
  "relative_energy_ev_per_fu": 3.28,
  "sg": "No. 221"
}



Record 4
{
  "formula": "Pm4AsIr2",
  "functional": "PBE-GGA",
  "state": "relaxed",
  "cell": [[8.314, -0.830, -0.148], [-1.535, 7.168, 0.161], [-3.288, -3.289, 6.263]],
  "species": ["Pm", "Pm", "Pm", "Pm", "Pm", "Pm", "Pm", "Pm", "As", "As", "Ir", "Ir", "Ir", "Ir"],
  "fractional_positions": [[0.951, 0.236, 0.380], [0.821, 0.606, 0.120], [0.353, 0.952, 0.243], [0.821, 0.177, 0.746], [0.325, 0.182, 0.754], [0.360, 0.459, 0.257], [0.898, 0.668, 0.644], [0.504, 0.774, 0.856], [0.986, 0.999, 0.036], [0.199, 0.713, 0.464], [0.188, 0.507, 0.872], [0.601, 0.258, 0.175], [0.566, 0.385, 0.628], [0.676, 0.834, 0.325]],
  "formation_energy_ev_per_atom": -0.80,
  "sg": "No. 9"
}



Record 5
{
  "formula": "CaAs2RuO8",
  "functional": "PBE-GGA",
  "state": "relaxed",
  "cell": [[-1.488, -2.424, 4.687], [-2.274, -1.563, -4.738], [4.807, -4.525, -0.814]],
  "species": ["O", "O", "O", "O", "O", "O", "O", "O", "Ca", "As", "As", "Ru"],
  "fractional_positions": [[0.843, 0.685, 0.198], [0.667, 0.333, 0.522], [0.685, 0.843, 0.802], [0.843, 0.157, 0.198], [0.157, 0.315, 0.802], [0.157, 0.843, 0.802], [0.315, 0.157, 0.198], [0.333, 0.667, 0.478], [0.000, 0.000, 0.500], [0.667, 0.333, 0.270], [0.333, 0.667, 0.730], [0.000, 0.000, 0.000]],
  "raw_formation_energy_ev_per_atom": -1.34,
  "sg": "No. 164"
}



Record 6
{
  "formula": "ReAgIr2",
  "functional": "PBE-GGA",
  "state": "relaxed",
  "cell": [[-1.836, 0.820, -3.258], [-1.766, -3.578, 0.095], [-3.024, 1.549, 2.094]],
  "species": ["Ag", "Ir", "Ir", "Re"],
  "fractional_positions": [[0.500, 0.000, 0.500], [0.000, 0.000, 0.000], [0.000, 0.500, 0.500], [0.500, 0.500, 0.000]],
  "formation_energy_ev_per_atom": 0.53,
  "relative_energy_ev_per_fu": 1.99,
  "sg": "No. 123"
}